DFT (PBE) results for crystalline La3Pm6YEr2 at its relaxed geometry.

```
La3Pm6YEr2
1.0
3.158 -5.475 0.000
3.158 5.475 0.000
-2.114 0.000 11.888
La Pm Y Er
3 6 1 2
direct
0.000 0.000 0.000
0.333 0.667 0.000
0.667 0.333 0.000
0.084 0.419 0.256
0.247 0.247 0.743
0.419 0.084 0.256
0.581 0.916 0.744
0.753 0.753 0.257
0.916 0.581 0.744
0.500 0.500 0.500
0.167 0.833 0.500
0.833 0.167 0.500
```

Space-group type   C2/m, No. 12
Formation energy   0.02 eV/atom
Volume   34.258 A^3/atom


DFT (PBE) results for crystalline La2Pm6YEr3 at its relaxed geometry.

```
La2Pm6YEr3
1.0
3.144 -5.447 0.000
3.144 5.447 0.000
-2.099 0.000 11.804
La Pm Y Er
2 6 1 3
direct
0.167 0.833 0.000
0.833 0.167 0.000
0.082 0.415 0.744
0.253 0.253 0.256
0.415 0.082 0.744
0.585 0.918 0.256
0.747 0.747 0.744
0.918 0.585 0.256
0.500 0.500 0.000
0.000 0.000 0.500
0.334 0.666 0.500
0.666 0.334 0.500
```

Space-group type   C2/m, No. 12
Formation energy   0.02 eV/atom
Volume   33.687 A^3/atom


DFT (PBE) results for crystalline LaPmYEr at its relaxed geometry.

```
LaPmYEr
1.0
0.000 4.080 4.080
4.080 0.000 4.080
4.080 4.080 0.000
La Pm Y Er
1 1 1 1
direct
0.000 0.000 0.000
0.500 0.500 0.500
0.750 0.750 0.750
0.250 0.250 0.250
```

Space-group type   F-43m, No. 216
Energy above the most stable polymorph in this dataset   76 meV/atom
Formation energy   0.09 eV/atom
Volume   33.953 A^3/atom


DFT (PBE) results for crystalline La5Pm2YEr at its relaxed geometry.

```
La5Pm2YEr
1.0
2.788 -11.004 0.000
2.788 11.004 0.000
0.000 0.000 10.557
La Pm Y Er
10 4 2 2
direct
0.000 0.000 0.000
0.000 0.000 0.500
0.124 0.876 0.750
0.221 0.779 0.058
0.222 0.778 0.440
0.498 0.502 0.750
0.502 0.498 0.250
0.778 0.222 0.940
0.779 0.221 0.558
0.876 0.124 0.250
0.385 0.615 0.009
0.386 0.614 0.491
0.614 0.386 0.991
0.615 0.385 0.509
0.102 0.898 0.250
0.898 0.102 0.750
0.293 0.707 0.749
0.707 0.293 0.249
```

Space-group type   Cmc2_1, No. 36
Formation energy   0.12 eV/atom
Volume   35.980 A^3/atom


DFT (PBE) results for crystalline La2PmY3Er6 at its relaxed geometry.

```
La2PmY3Er6
1.0
3.102 -5.371 0.000
3.102 5.371 0.000
-2.064 0.000 11.621
La Pm Y Er
2 1 3 6
direct
0.167 0.833 0.000
0.833 0.167 0.000
0.500 0.500 0.000
0.000 0.000 0.500
0.334 0.666 0.500
0.666 0.334 0.500
0.082 0.415 0.746
0.253 0.253 0.254
0.415 0.082 0.746
0.585 0.918 0.254
0.747 0.747 0.746
0.918 0.585 0.254
```

Space-group type   C2/m, No. 12
Formation energy   0.03 eV/atom
Volume   32.273 A^3/atom


DFT (PBE) results for crystalline La3Pm6Y2Er at its relaxed geometry.

```
La3Pm6Y2Er
1.0
3.162 -5.483 0.000
3.162 5.483 0.000
-2.117 0.000 11.903
La Pm Y Er
3 6 2 1
direct
0.000 0.000 0.000
0.333 0.667 0.000
0.667 0.333 0.000
0.086 0.419 0.256
0.249 0.249 0.744
0.419 0.086 0.256
0.581 0.914 0.744
0.751 0.751 0.256
0.914 0.581 0.744
0.167 0.833 0.500
0.833 0.167 0.500
0.500 0.500 0.500
```

Space-group type   C2/m, No. 12
Formation energy   0.02 eV/atom
Volume   34.396 A^3/atom